# Zr2BeNb PBE-GGA relaxed
data_Zr2BeNb
_space_group_name_H-M_alt 'P 1'
_space_group_IT_number 1
_cell_length_a 5.9363
_cell_length_b 5.9363
_cell_length_c 5.9363
_cell_angle_alpha 102.29
_cell_angle_beta 102.29
_cell_angle_gamma 125.05
loop_
_space_group_symop_operation_xyz
'x,y,z'
loop_
_atom_site_label
_atom_site_fract_x
_atom_site_fract_y
_atom_site_fract_z
_atom_site_occupancy
Zr1 0.0970 0.6250 0.9720 1
Zr2 0.3750 0.3470 0.4720 1
Zr3 0.6530 0.1250 0.0280 1
Zr4 0.8750 0.9030 0.5280 1
Be1 0.0000 0.0000 0.0000 1
Be2 0.7500 0.2500 0.5000 1
Nb1 0.2500 0.7500 0.5000 1
Nb2 0.5000 0.5000 0.0000 1
# ΔE_f: 9.9 kcal/mol of atoms
# Crystal system: tetragonal
# Electronic total energy: -7.2937 eV/atom